The following is a DFT calculation (GGA-PBE) of a relaxed TbErAg2O4 crystal.

## Properties
Crystal system: trigonal
Energy: -52.98 eV per cell
Volume: 16.35 Å³ per atom
M_tot: 0.00 μB per atom

```
data_TbErAg2O4
_symmetry_space_group_name_H-M 'P -3 m 1'
_symmetry_Int_Tables_number 164
_symmetry_space_group_name_Hall '-P 3 2"'
_cell_length_a 3.4793
_cell_length_b 3.4793
_cell_length_c 12.4784
_cell_angle_alpha 90.00
_cell_angle_beta 90.00
_cell_angle_gamma 120.00
loop_
_atom_site_label
_atom_site_type_symbol
_atom_site_fract_x
_atom_site_fract_y
_atom_site_fract_z
Tb1 Tb 0.0000 0.0000 0.0000
Er1 Er 0.0000 0.0000 0.5000
Ag1 Ag 0.3333 0.6667 0.7484
O1 O 0.3333 0.6667 0.5825
O2 O 0.3333 0.6667 0.9141
```

The following is a DFT calculation (GGA-PBE) of a relaxed YErAg2O4 crystal.

## Properties
Crystal system: trigonal
Energy: -54.80 eV per cell
Volume: 16.27 Å³ per atom
M_tot: 0.00 μB per atom

```
data_YErAg2O4
_symmetry_space_group_name_H-M 'P -3 m 1'
_symmetry_Int_Tables_number 164
_symmetry_space_group_name_Hall '-P 3 2"'
_cell_length_a 3.4694
_cell_length_b 3.4694
_cell_length_c 12.4892
_cell_angle_alpha 90.00
_cell_angle_beta 90.00
_cell_angle_gamma 120.00
loop_
_atom_site_label
_atom_site_type_symbol
_atom_site_fract_x
_atom_site_fract_y
_atom_site_fract_z
Y1 Y 0.0000 0.0000 0.0000
Er1 Er 0.0000 0.0000 0.5000
Ag1 Ag 0.3333 0.6667 0.2513
O1 O 0.3333 0.6667 0.0855
O2 O 0.3333 0.6667 0.4173
```

The following is a DFT calculation (GGA-PBE) of a relaxed Er2AgOs crystal.

## Properties
Crystal system: tetragonal
Volume: 21.41 Å³ per atom
M_tot: 0.00 μB per atom
Energy relative to the elements: -0.369 eV per atom

```
data_Er2AgOs
_symmetry_space_group_name_H-M 'P 4/m m m'
_symmetry_Int_Tables_number 123
_symmetry_space_group_name_Hall '-P 4 2'
_cell_length_a 3.378
_cell_length_b 3.378
_cell_length_c 7.504
_cell_angle_alpha 90.00
_cell_angle_beta 90.00
_cell_angle_gamma 90.00
loop_
_atom_site_label
_atom_site_type_symbol
_atom_site_fract_x
_atom_site_fract_y
_atom_site_fract_z
Er1 Er 0.000 0.000 0.220
Ag1 Ag 0.500 0.500 0.500
Os1 Os 0.500 0.500 0.000
```

The following is a DFT calculation (GGA-PBE) of a relaxed ErAgOs crystal.

## Properties
Crystal system: cubic
Energy relative to the lowest polymorph listed for this composition: 0 meV/atom
Volume: 22.48 Å³ per atom
M_tot: 0.09 μB per atom
Energy relative to the elements: 0.583 eV per atom

```
data_ErAgOs
_symmetry_space_group_name_H-M 'F -4 3 m'
_symmetry_Int_Tables_number 216
_symmetry_space_group_name_Hall 'F -4 2 3'
_cell_length_a 6.461
_cell_length_b 6.461
_cell_length_c 6.461
_cell_angle_alpha 90.00
_cell_angle_beta 90.00
_cell_angle_gamma 90.00
loop_
_atom_site_label
_atom_site_type_symbol
_atom_site_fract_x
_atom_site_fract_y
_atom_site_fract_z
Er1 Er 0.000 0.000 0.000
Ag1 Ag 0.000 0.000 0.500
Os1 Os 0.250 0.250 0.750
```

The following is a DFT calculation (GGA-PBE) of a relaxed ErAgOs crystal.

## Properties
Crystal system: cubic
Energy relative to the lowest polymorph listed for this composition: 329 meV/atom
Volume: 22.71 Å³ per atom
M_tot: 0.00 μB per atom
Energy relative to the elements: 0.912 eV per atom

```
data_ErAgOs
_symmetry_space_group_name_H-M 'F -4 3 m'
_symmetry_Int_Tables_number 216
_symmetry_space_group_name_Hall 'F -4 2 3'
_cell_length_a 6.483
_cell_length_b 6.483
_cell_length_c 6.483
_cell_angle_alpha 90.00
_cell_angle_beta 90.00
_cell_angle_gamma 90.00
loop_
_atom_site_label
_atom_site_type_symbol
_atom_site_fract_x
_atom_site_fract_y
_atom_site_fract_z
Er1 Er 0.000 0.000 0.000
Ag1 Ag 0.250 0.250 0.750
Os1 Os 0.250 0.250 0.250
```

The following is a DFT calculation (GGA-PBE) of a relaxed PrErAg2Pb2 crystal.

## Properties
Crystal system: trigonal
Energy: -24.93 eV per cell
Volume: 25.48 Å³ per atom
M_tot: 0.00 μB per atom

```
data_PrErAg2Pb2
_symmetry_space_group_name_H-M 'P 3 m 1'
_symmetry_Int_Tables_number 156
_cell_length_a 4.8416
_cell_length_b 4.8416
_cell_length_c 7.5321
_cell_angle_alpha 90.00
_cell_angle_beta 90.00
_cell_angle_gamma 120.00
loop_
_symmetry_equiv_pos_as_xyz
'x,y,z'
'-y,x-y,z'
'-x+y,-x,z'
'-y,-x,z'
'-x+y,y,z'
'x,x-y,z'
loop_
_atom_site_label
_atom_site_type_symbol
_atom_site_fract_x
_atom_site_fract_y
_atom_site_fract_z
Pr1 Pr 0.0000 0.0000 0.0000
Er1 Er 0.0000 0.0000 0.5024
Ag1 Ag 0.3333 0.6667 0.2058
Ag2 Ag 0.6667 0.3333 0.6821
Pb1 Pb 0.3333 0.6667 0.7752
Pb2 Pb 0.6667 0.3333 0.2865
```

What is the formula in the first record?
TbErAg2O4

Which value of M_tot does entry 2 give?
0.00 μB per atom

Which value of M_tot does entry 1 give?
0.00 μB per atom

Number 2 is which compound?
YErAg2O4